The following is a PBE+U calculation of crystalline K2MoI4F2 at its relaxed geometry, from Alexandria via LeMat-Bulk.

a b c (Å): 7.2500 7.2500 7.3069
angles (deg): 99.57 99.57 69.94
Positions (direct):
1 K 0.1566 0.1566 0.3702
2 K 0.8434 0.8434 0.6298
3 Mo 0.5000 0.5000 0.5000
4 I 0.1587 0.6391 0.2444
5 I 0.3609 0.8413 0.7556
6 I 0.6391 0.1587 0.2444
7 I 0.8413 0.3609 0.7556
8 F 0.3587 0.3587 0.6021
9 F 0.6413 0.6413 0.3979

- space-group type = C2/m, No. 12
- calculated density (g cm⁻³) = 3.38
- calculated total energy (eV per atom) = -3.533

The following is a PBE+U calculation of crystalline K2MoI2F4 at its relaxed geometry, from Alexandria via LeMat-Bulk.

a b c (Å): 7.0329 7.0329 7.0329
angles (deg): 119.05 119.05 91.66
Positions (direct):
1 K 0.2500 0.7500 0.5000
2 K 0.7500 0.2500 0.5000
3 Mo 0.0000 0.0000 0.0000
4 I 0.2899 0.2899 0.0000
5 I 0.7101 0.7101 0.0000
6 F 0.1959 0.1959 0.3919
7 F 0.1959 0.8041 0.0000
8 F 0.8041 0.1959 0.0000
9 F 0.8041 0.8041 0.6081

- space-group type = I4/mmm, No. 139
- calculated density (g cm⁻³) = 3.36
- calculated total energy (eV per atom) = -4.254
- density of states at the Fermi level (states/eV per cell) = 0.00